Density functional theory data (GGA-PBEsol) for an optimized crystal structure of BaCu4S3.

Cell: 7.3471 7.3471 10.0056 Å, 90.00 90.00 149.29°
Closest atoms and distances in Å follow each position.
Element x y z (fractional)
Ba1 0.2448 0.7552 0.7500  8 S 3.15-3.32
Ba2 0.7552 0.2448 0.2500  8 S 3.15-3.32
Cu1 0.0034 0.9966 0.1269  3 S 2.25-2.45, 1 Cu 2.46
Cu2 0.0034 0.9966 0.3731  3 S 2.25-2.45, 1 Cu 2.46
Cu3 0.4070 0.5930 0.0225  3 S 2.24-2.34
Cu4 0.4070 0.5930 0.4775  3 S 2.24-2.34
Cu5 0.5930 0.4070 0.5225  3 S 2.24-2.34
Cu6 0.5930 0.4070 0.9775  3 S 2.24-2.34
Cu7 0.9966 0.0034 0.6269  3 S 2.25-2.45, 1 Cu 2.46
Cu8 0.9966 0.0034 0.8731  3 S 2.25-2.45, 1 Cu 2.46
S1 0.1524 0.8476 0.0494  3 Cu 2.24-2.25
S2 0.1524 0.8476 0.4506  3 Cu 2.24-2.25
S3 0.4454 0.5546 0.2500  6 Cu 2.34-2.45
S4 0.5546 0.4454 0.7500  6 Cu 2.34-2.45
S5 0.8476 0.1524 0.5494  3 Cu 2.24-2.25
S6 0.8476 0.1524 0.9506  3 Cu 2.24-2.25

Results
Formation energy from raw total energies: -679 meV per atom

Density functional theory data (GGA-PBEsol) for an optimized crystal structure of LaAuBr2.

Cell: 5.1594 5.1594 5.1594 Å, 60.00 60.00 60.00°
Closest atoms and distances in Å follow each position.
Element x y z (fractional)
La1 0.0000 0.0000 0.0000  8 Br 3.16
Au1 0.5000 0.5000 0.5000  8 Br 3.16
Br1 0.2500 0.2500 0.2500  4 Au 3.16, 4 La 3.16
Br2 0.7500 0.7500 0.7500  4 La 3.16, 4 Au 3.16

Results
Offset from the most stable computed form: 15.5 meV/atom
Formation energy from raw total energies: -1101 meV per atom

Density functional theory data (GGA-PBEsol) for an optimized crystal structure of AlCdW.

Cell: 5.3819 5.3819 5.3819 Å, 149.56 140.20 50.92°
Closest atoms and distances in Å follow each position.
Element x y z (fractional)
Al1 0.0000 0.0000 0.0000  4 W 2.66, 2 Al 2.83, 4 Cd 2.89
Cd1 0.6790 0.6790 0.0000  2 Cd 2.83, 5 Al 2.89-3.12, 5 W 2.93-3.06
W1 0.3640 0.3640 0.0000  4 Al 2.66, 2 W 2.83, 4 Cd 2.93

Results
Formation enthalpy at 0 K: 0.4347 eV/atom